[1]
Compound: TbErTm5In2
Source: Alexandria
Functional: PBE-GGA
Structure: relaxed

Cell lengths 7.538, 7.538, 11.054 Å; angles 109.94, 109.94, 90.00 degrees
Sites, in units of the cell vectors:
1 Tm 0.078 0.578 0.755
2 Tm 0.178 0.078 0.755
3 Tm 0.422 0.322 0.245
4 Tm 0.678 0.178 0.755
5 Tm 0.322 0.822 0.245
6 Tm 0.500 0.500 0.000
7 Tm 0.822 0.922 0.245
8 Tm 0.922 0.422 0.245
9 Tm 0.000 0.000 0.000
10 Tm 0.578 0.678 0.755
11 In 0.375 0.875 0.000
12 In 0.125 0.375 0.000
13 In 0.875 0.625 0.000
14 In 0.625 0.125 0.000
15 Er 0.750 0.250 0.500
16 Er 0.250 0.750 0.500
17 Tb 0.750 0.750 0.500
18 Tb 0.250 0.250 0.500

Output
total magnetic moment: 0.000 μB/atom
symmetry: I4/mcm (140)

***

[2]
Compound: Tb3Y2Er6In
Source: Alexandria
Functional: PBE-GGA
Structure: relaxed

Cell lengths 6.055, 6.055, 11.612 Å; angles 95.01, 95.01, 120.03 degrees
Sites, in units of the cell vectors:
1 Y 0.666 0.334 0.000
2 Y 0.334 0.666 0.000
3 Tb 0.500 0.500 0.500
4 Tb 0.167 0.833 0.500
5 Tb 0.833 0.167 0.500
6 Er 0.590 0.918 0.753
7 Er 0.753 0.753 0.249
8 Er 0.082 0.410 0.247
9 Er 0.918 0.590 0.753
10 Er 0.410 0.082 0.247
11 Er 0.247 0.247 0.751
12 In 0.000 0.000 0.000

Output
total magnetic moment: 0.018 μB/atom
symmetry: C2/m (12)

***

[3]
Compound: Tb6Y3Er2In
Source: Alexandria
Functional: PBE-GGA
Structure: relaxed

Cell lengths 6.115, 6.115, 11.622 Å; angles 95.06, 95.06, 120.05 degrees
Sites, in units of the cell vectors:
1 Y 0.833 0.167 0.500
2 Y 0.500 0.500 0.500
3 Y 0.167 0.833 0.500
4 Tb 0.411 0.081 0.245
5 Tb 0.753 0.753 0.246
6 Tb 0.589 0.919 0.755
7 Tb 0.081 0.411 0.245
8 Tb 0.247 0.247 0.754
9 Tb 0.919 0.589 0.755
10 Er 0.334 0.666 0.000
11 Er 0.666 0.334 0.000
12 In 0.000 0.000 0.000

Output
total magnetic moment: 0.000 μB/atom
symmetry: C2/m (12)

***

[4]
Compound: Tb6Y2Er3In
Source: Alexandria
Functional: PBE-GGA
Structure: relaxed

Cell lengths 6.084, 6.084, 11.653 Å; angles 95.01, 95.01, 120.04 degrees
Sites, in units of the cell vectors:
1 Tb 0.589 0.917 0.751
2 Tb 0.245 0.245 0.749
3 Tb 0.411 0.083 0.249
4 Tb 0.083 0.411 0.249
5 Tb 0.755 0.755 0.251
6 Tb 0.917 0.589 0.751
7 Er 0.833 0.167 0.500
8 Er 0.167 0.833 0.500
9 Er 0.500 0.500 0.500
10 Y 0.666 0.334 0.000
11 Y 0.334 0.666 0.000
12 In 0.000 0.000 0.000

Output
total magnetic moment: 0.000 μB/atom
symmetry: C2/m (12)

***

| no. | energy of formation (eV/atom) |
| --- | --- |
| 1 | 0.022 |
| 2 | -0.042 |
| 3 | -0.036 |
| 4 | -0.043 |